## LaNdSe3 (PBE-GGA)

Data for crystalline LaNdSe3 at its relaxed geometry.

The calculation puts the total energy at -120.2 eV/cell.

The space group is Pnma (No. 62) and the conventional cell measures 7.902, 4.277 and 16.425 Å, with angles of 90.00, 90.00 and 90.00 degrees. The asymmetric unit holds La at (0.140, 0.250, 0.203), Nd at (0.233, 0.750, 0.456), Se at (0.008, 0.250, 0.392), Se at (0.124, 0.750, 0.066) and Se at (0.150, 0.250, 0.781).